No. 1
Here is a relaxed structure of Nb2SnHBr from Alexandria via LeMat-Bulk. Energies are from PBE-GGA.

abc: 4.7618 4.7618 5.6788
angles: 90.00 90.00 90.00
Sites, in units of the cell vectors:
Nb: 0.0000 0.5000 0.0000
Nb: 0.5000 0.0000 0.0000
Sn: 0.0000 0.0000 0.5000
H: 0.5000 0.5000 0.5000
Br: 0.0000 0.0000 0.0000

Output
Calculated volume   129 Å³ per cell
Fermi-level density of states   5.4 states/eV per cell
Calculated total energy   -4.0635 eV/atom

No. 2
Here is a relaxed structure of SmPa2AlC4 from Alexandria via LeMat-Bulk. Energies are from PBE-GGA.

abc: 6.1681 6.1681 11.8939
angles: 90.00 90.00 145.75
Sites, in units of the cell vectors:
Sm: 0.1072 0.8928 0.7500
Sm: 0.8928 0.1072 0.2500
Pa: 0.3698 0.6302 0.5514
Pa: 0.3698 0.6302 0.9486
Pa: 0.6302 0.3698 0.0514
Pa: 0.6302 0.3698 0.4486
Al: 0.1563 0.8437 0.2500
Al: 0.8437 0.1563 0.7500
C: 0.0000 0.0000 0.0000
C: 0.0000 0.0000 0.5000
C: 0.2566 0.7434 0.1145
C: 0.2566 0.7434 0.3855
C: 0.4362 0.5638 0.7500
C: 0.5638 0.4362 0.2500
C: 0.7434 0.2566 0.6145
C: 0.7434 0.2566 0.8855

Output
Calculated volume   255 Å³ per cell
ΔE_f   -0.256 eV/atom
Fermi-level density of states   4.5 states/eV per cell
Calculated total energy   -8.2998 eV/atom

No. 3
Here is a relaxed structure of CaPdC2 from Alexandria via LeMat-Bulk. Energies are from PBE-GGA.

abc: 6.2304 6.2304 6.2304
angles: 131.63 131.63 70.82
Sites, in units of the cell vectors:
Ca: 0.0000 0.0000 0.0000
Ca: 0.7500 0.2500 0.5000
Pd: 0.2500 0.7500 0.5000
Pd: 0.5000 0.5000 0.0000
C: 0.2103 0.6250 0.0853
C: 0.3750 0.4603 0.5853
C: 0.5397 0.1250 0.9147
C: 0.8750 0.7897 0.4147

Output
Calculated volume   132 Å³ per cell
ΔE_f   1.083 eV/atom
Fermi-level density of states   3.6 states/eV per cell
Calculated total energy   -5.3273 eV/atom

No. 4
Here is a relaxed structure of Ta2Tl2Ir from Alexandria via LeMat-Bulk. Energies are from PBE-GGA.

abc: 8.2377 8.2377 8.2377
angles: 154.01 154.01 37.08
Sites, in units of the cell vectors:
Ta: 0.2500 0.7500 0.5000
Ta: 0.7500 0.2500 0.5000
Tl: 0.0934 0.0934 0.0000
Tl: 0.9066 0.9066 0.0000
Ir: 0.5000 0.5000 0.0000

Output
Calculated volume   107 Å³ per cell
ΔE_f   1.012 eV/atom
Energy above the most stable polymorph in this dataset   129 meV per atom
Fermi-level density of states   6.9 states/eV per cell
Calculated total energy   -6.4475 eV/atom